[1]
First-principles (PBE) data for a relaxed NdPaN crystal, as listed in the Alexandria database.

Cell lengths 3.4256, 12.9215, 6.2768 Å; angles 90.00, 90.00, 90.00 degrees
Space group Cmcm (No. 63)
Asymmetric unit:
Nd (0.0000, 0.2330, 0.2500) (multiplicity 4)
Pa (0.0000, 0.5000, 0.0000) (multiplicity 4)
N (0.0000, 0.0381, 0.2500) (multiplicity 4)

Properties
DFT total energy, eV/atom: -8.24
Formation energy from raw total energies, eV per atom: -0.707

=====

[2]
First-principles (PBE) data for a relaxed Nd2Pa2N5 crystal, as listed in the Alexandria database.

Cell lengths 11.7214, 6.7614, 6.8128 Å; angles 90.00, 90.00, 90.00 degrees
Space group Cmce (No. 64)
Asymmetric unit:
Nd (0.0000, 0.1601, 0.1664) (multiplicity 8)
Pa (0.2046, 0.0000, 0.5000) (multiplicity 8)
N (0.0000, 0.0000, 0.5000) (multiplicity 4)
N (0.1495, 0.1712, 0.8695) (multiplicity 16)

Properties
DFT total energy, eV/atom: -9.12
Formation energy from raw total energies, eV per atom: -1.326

=====

[3]
First-principles (PBE) data for a relaxed Nd2PaN4 crystal, as listed in the Alexandria database.

Cell lengths 6.0852, 10.1325, 3.6480 Å; angles 90.00, 90.00, 90.00 degrees
Space group Pbam (No. 55)
Asymmetric unit:
Nd (0.0614, 0.1750, 0.0000) (multiplicity 4)
Pa (0.0000, 0.5000, 0.5000) (multiplicity 2)
N (0.1478, 0.6952, 0.5000) (multiplicity 4)
N (0.2308, 0.4586, 0.0000) (multiplicity 4)

Properties
DFT total energy, eV/atom: -8.83
Formation energy from raw total energies, eV per atom: -1.357

=====

[4]
First-principles (PBE) data for a relaxed NdPa2N3 crystal, as listed in the Alexandria database.

Cell lengths 5.9038, 5.9038, 3.3515 Å; angles 90.00, 90.00, 120.00 degrees
Space group P6/mmm (No. 191)
Asymmetric unit:
Nd (0.0000, 0.0000, 0.0000) (multiplicity 1)
Pa (0.3333, 0.6667, 0.5000) (multiplicity 2)
N (0.0000, 0.5000, 0.0000) (multiplicity 3)

Properties
DFT total energy, eV/atom: -9.51
Formation energy from raw total energies, eV per atom: -1.389

=====

[5]
First-principles (PBE) data for a relaxed Nd2Pa3N8 crystal, as listed in the Alexandria database.

Cell lengths 11.6811, 7.0837, 5.8686 Å; angles 90.00, 112.11, 90.00 degrees
Space group C2/m (No. 12)
Asymmetric unit:
Nd (0.2163, 0.0000, 0.1464) (multiplicity 4)
Pa (0.0000, 0.2377, 0.5000) (multiplicity 4)
Pa (0.0000, 0.5000, 0.0000) (multiplicity 2)
N (0.1008, 0.5000, 0.4149) (multiplicity 4)
N (0.1068, 0.0000, 0.4352) (multiplicity 4)
N (0.1162, 0.2874, 0.8885) (multiplicity 8)

Properties
DFT total energy, eV/atom: -9.18
Formation energy from raw total energies, eV per atom: -1.129

=====

[6]
First-principles (PBE) data for a relaxed NdPaN crystal, as listed in the Alexandria database.

Cell lengths 3.3351, 3.3351, 13.1609 Å; angles 90.00, 90.00, 90.00 degrees
Space group I4mm (No. 107)
Asymmetric unit:
Nd (0.0000, 0.0000, 0.0000) (multiplicity 2)
Pa (0.0000, 0.0000, 0.2957) (multiplicity 2)
N (0.0000, 0.0000, 0.8037) (multiplicity 2)

Properties
DFT total energy, eV/atom: -8.18
Formation energy from raw total energies, eV per atom: -0.650